(1)
# SmSc2OsO8, optimized geometry, DFT PBE
data_SmSc2OsO8
_chemical_formula_sum 'Sm1 Sc2 Os1 O8'
_cell_length_a 4.887
_cell_length_b 6.616
_cell_length_c 4.894
_cell_angle_alpha 90.00
_cell_angle_beta 91.27
_cell_angle_gamma 90.00
_symmetry_space_group_name_H-M 'P 1 2/m 1'
_symmetry_Int_Tables_number 10
_symmetry_space_group_name_Hall '-P 2y'
loop_
_atom_site_label
_atom_site_type_symbol
_atom_site_fract_x
_atom_site_fract_y
_atom_site_fract_z
Sm1 Sm 0.000 0.000 0.000
Sc1 Sc 0.500 0.239 0.500
Os1 Os 0.000 0.500 0.000
O1 O 0.197 0.292 0.196
O2 O 0.268 0.500 0.730
O3 O 0.320 0.000 0.678
# D(E_F): 3.1 states/eV per cell
# Final energy: -98.03 eV per cell

(2)
# KFeCo, optimized geometry, DFT PBE
data_KFeCo
_chemical_formula_sum 'K2 Fe2 Co2'
_cell_length_a 3.8619
_cell_length_b 3.8619
_cell_length_c 11.0721
_cell_angle_alpha 90.00
_cell_angle_beta 90.00
_cell_angle_gamma 120.00
_symmetry_space_group_name_H-M 'P 63/m m c'
_symmetry_Int_Tables_number 194
_symmetry_space_group_name_Hall '-P 6c 2c'
loop_
_atom_site_label
_atom_site_type_symbol
_atom_site_fract_x
_atom_site_fract_y
_atom_site_fract_z
K1 K 0.0000 0.0000 0.0000
Fe1 Fe 0.3333 0.6667 0.2500
Co1 Co 0.3333 0.6667 0.7500
# Calculated formation energy: 970 meV per atom
# D(E_F): 8.5 states/eV per cell
# Relative energy among the computed polymorphs: 552 meV/atom

(3)
# RbNa3Ce2Se6, optimized geometry, DFT PBE
data_RbNa3Ce2Se6
_chemical_formula_sum 'Rb2 Na6 Ce4 Se12'
_cell_length_a 18.501
_cell_length_b 4.335
_cell_length_c 8.897
_cell_angle_alpha 90.00
_cell_angle_beta 100.56
_cell_angle_gamma 90.00
_symmetry_space_group_name_H-M 'C 1 2/m 1'
_symmetry_Int_Tables_number 12
_symmetry_space_group_name_Hall '-C 2y'
loop_
_atom_site_label
_atom_site_type_symbol
_atom_site_fract_x
_atom_site_fract_y
_atom_site_fract_z
Rb1 Rb 0.000 0.000 0.000
Na1 Na 0.000 0.000 0.500
Na2 Na 0.157 0.500 0.823
Ce1 Ce 0.165 0.500 0.334
Se1 Se 0.015 0.500 0.285
Se2 Se 0.173 0.000 0.563
Se3 Se 0.181 0.000 0.127
# Final energy: -108.94 eV per cell

(4)
# Li3Np3CuSe8, optimized geometry, DFT PBE
data_Li3Np3CuSe8
_chemical_formula_sum 'Li9 Np9 Cu3 Se24'
_cell_length_a 7.9736
_cell_length_b 7.9736
_cell_length_c 19.4370
_cell_angle_alpha 90.00
_cell_angle_beta 90.00
_cell_angle_gamma 120.00
_symmetry_space_group_name_H-M 'R -3 m'
_symmetry_Int_Tables_number 166
_symmetry_space_group_name_Hall '-R 3 2"'
loop_
_atom_site_label
_atom_site_type_symbol
_atom_site_fract_x
_atom_site_fract_y
_atom_site_fract_z
Li1 Li 0.0000 0.5000 0.0000
Np1 Np 0.0000 0.5000 0.5000
Cu1 Cu 0.0000 0.0000 0.5000
Se1 Se 0.0000 0.0000 0.2537
Se2 Se 0.0103 0.5051 0.2469
# D(E_F): 82.9 states/eV per cell
# Final energy: -273.66 eV per cell